First-principles (PBE) data for K2TcGe2 after structural relaxation, as listed in Alexandria.

Unit cell a=9.9046 b=9.9046 c=2.8748 alpha=90.00 beta=90.00 gamma=90.00
Closest atoms and distances in Å follow each position.
Space group P4/mbm (No. 127)
Asymmetric unit:
K 0.1232 0.3768 0.0000  2 K 2.87, 2 Ge 3.16
Tc 0.0000 0.0000 0.0000  2 Tc 2.87
Ge 0.1762 0.6762 0.5000  2 Ge 2.87, 2 K 3.16

The value obtained for the density of states at the Fermi level is 7.131 states/eV per cell. The calculation puts the volume at 28.202 A^3/atom. For the magnetization, the calculation gives 3.4 μB per formula unit. The value obtained for the calculated formation energy is 1.107 eV/atom.

***

First-principles (PBE) data for KTl2TcGe after structural relaxation, as listed in Alexandria.

Unit cell a=5.4113 b=5.4113 c=4.8696 alpha=90.00 beta=90.00 gamma=90.00
Closest atoms and distances in Å follow each position.
Space group P4/mmm (No. 123)
Asymmetric unit:
K 0.0000 0.0000 0.0000  8 Tl 3.64, 4 Ge 3.83
Tl 0.0000 0.5000 0.5000  2 Tc 2.71
Tc 0.5000 0.5000 0.5000  2 Ge 2.43, 4 Tl 2.71
Ge 0.5000 0.5000 0.0000  2 Tc 2.43

The value obtained for the density of states at the Fermi level is 0.773 states/eV per cell. The calculation puts the volume at 28.518 A^3/atom. For the magnetization, the calculation gives 0.0 μB per formula unit. The value obtained for the calculated formation energy is 0.055 eV/atom.

***

First-principles (PBE) data for KGeTe after structural relaxation, as listed in Alexandria.

Unit cell a=18.3842 b=4.3940 c=5.5878 alpha=90.00 beta=100.11 gamma=90.00
Closest atoms and distances in Å follow each position.
Space group C2/m (No. 12)
Asymmetric unit:
K 0.0908 0.0000 0.3041  6 Te 3.55-3.86, 1 Ge 3.69
Ge 0.2278 0.5000 0.8915  2 Ge 2.57, 1 Te 2.59
Te 0.0845 0.5000 0.8017  1 Ge 2.59

The value obtained for the density of states at the Fermi level is 3.545 states/eV per cell. The calculation puts the volume at 37.031 A^3/atom. For the magnetization, the calculation gives 0.0 μB per formula unit. As for the energy relative to the elements, uncorrected: -0.438 eV per atom.

***

First-principles (PBE) data for K5Ge2Te6 after structural relaxation, as listed in Alexandria.

Unit cell a=13.6196 b=15.5559 c=4.8481 alpha=90.00 beta=90.00 gamma=90.00
Closest atoms and distances in Å follow each position.
Space group Pbam (No. 55)
Asymmetric unit:
K 0.0000 0.0000 0.0000  6 Te 3.66-3.95, 2 K 4.06
K 0.0705 0.2539 0.0000  6 Te 3.49-3.56
K 0.1785 0.5024 0.0000  5 Te 3.54-3.69
Ge 0.1811 0.7068 0.5000  4 Te 2.66-2.83
Te 0.0262 0.6013 0.5000  1 Ge 2.67
Te 0.1612 0.1059 0.5000  1 Ge 2.66
Te 0.1791 0.8004 0.0000  2 Ge 2.83

The value obtained for the density of states at the Fermi level is 2.490 states/eV per cell. The calculation puts the volume at 39.505 A^3/atom. For the magnetization, the calculation gives 0.0 μB per formula unit. As for the energy relative to the elements, uncorrected: -0.696 eV per atom.

***

First-principles (PBE) data for K3GeTe4 after structural relaxation, as listed in Alexandria.

Unit cell a=13.8708 b=6.9891 c=6.9373 alpha=90.00 beta=90.00 gamma=90.00
Closest atoms and distances in Å follow each position.
Space group Pmn2_1 (No. 31)
Asymmetric unit:
K 0.0000 0.1936 0.0000  4 Te 3.49-3.55
K 0.2488 0.2779 0.5753  6 Te 3.49-3.73
Ge 0.0000 0.6336 0.4320  4 Te 2.61-2.63
Te 0.0000 0.2661 0.4996  1 Ge 2.61
Te 0.0000 0.6979 0.0610  1 Ge 2.61
Te 0.1594 0.7782 0.5769  1 Ge 2.63

The value obtained for the density of states at the Fermi level is 17.283 states/eV per cell. The calculation puts the volume at 42.034 A^3/atom. For the magnetization, the calculation gives 0.0 μB per formula unit. As for the energy relative to the elements, uncorrected: -0.602 eV per atom.

***

First-principles (PBE) data for K3GeTe2 after structural relaxation, as listed in Alexandria.

Unit cell a=8.2166 b=15.6098 c=8.4668 alpha=90.00 beta=90.00 gamma=90.00
Closest atoms and distances in Å follow each position.
Space group Ibam (No. 72)
Asymmetric unit:
K 0.0000 0.0000 0.2500  4 Te 3.48
K 0.0000 0.2705 0.2500  4 Te 3.44-3.62
Ge 0.0000 0.5000 0.0000  2 Te 2.97
Te 0.2322 0.1278 0.0000  1 Ge 2.97

The value obtained for the density of states at the Fermi level is 15.583 states/eV per cell. The calculation puts the volume at 45.248 A^3/atom. For the magnetization, the calculation gives 1.0 μB per formula unit. As for the energy relative to the elements, uncorrected: -0.502 eV per atom.

***

First-principles (PBE) data for KGe2Te2 after structural relaxation, as listed in Alexandria.

Unit cell a=4.3744 b=4.3744 c=15.8572 alpha=90.00 beta=90.00 gamma=90.00
Closest atoms and distances in Å follow each position.
Space group I4/mmm (No. 139)
Asymmetric unit:
K 0.0000 0.0000 0.0000  8 Te 3.53
Ge 0.0000 0.5000 0.2500  4 Ge 3.09, 4 Te 3.15
Te 0.0000 0.0000 0.3926  4 Ge 3.15, 1 Te 3.41

The value obtained for the density of states at the Fermi level is 3.830 states/eV per cell. For the energy above the lowest structure with this stoichiometry, the calculation gives 160 meV per atom. The calculation puts the volume at 30.343 A^3/atom. For the magnetization, the calculation gives 0.0 μB per formula unit. As for the energy relative to the elements, uncorrected: -0.113 eV per atom.

***

First-principles (PBE) data for KGe2Te2 after structural relaxation, as listed in Alexandria.

Unit cell a=9.1758 b=9.1758 c=3.9344 alpha=90.00 beta=90.00 gamma=90.00
Closest atoms and distances in Å follow each position.
Space group P4/mbm (No. 127)
Asymmetric unit:
K 0.0000 0.0000 0.0000  4 Te 3.48
Ge 0.0992 0.4008 0.5000  1 Ge 2.57
Te 0.1521 0.6521 0.0000  4 Ge 3.07

The value obtained for the density of states at the Fermi level is 3.696 states/eV per cell. For the energy above the lowest structure with this stoichiometry, the calculation gives 170 meV per atom. The calculation puts the volume at 33.126 A^3/atom. For the magnetization, the calculation gives 0.0 μB per formula unit. As for the energy relative to the elements, uncorrected: -0.103 eV per atom.

***

First-principles (PBE) data for KGe2Te after structural relaxation, as listed in Alexandria.

Unit cell a=8.6751 b=8.6751 c=6.4183 alpha=90.00 beta=90.00 gamma=90.00
Closest atoms and distances in Å follow each position.
Space group I-42d (No. 122)
Asymmetric unit:
K 0.0000 0.0000 0.0000  2 Te 3.21, 4 Ge 3.46
Ge 0.2038 0.2500 0.6250  2 Te 2.91
Te 0.0000 0.0000 0.5000  4 Ge 2.91, 2 K 3.21

The value obtained for the density of states at the Fermi level is 11.275 states/eV per cell. The calculation puts the volume at 30.189 A^3/atom. For the magnetization, the calculation gives 0.0 μB per formula unit. As for the energy relative to the elements, uncorrected: 0.121 eV per atom.

***

First-principles (PBE) data for KGe6Te8 after structural relaxation, as listed in Alexandria.

Unit cell a=10.8004 b=10.8004 c=14.7532 alpha=90.00 beta=90.00 gamma=120.00
Closest atoms and distances in Å follow each position.
Space group R-3 (No. 148, hexagonal axes)
Asymmetric unit:
K 0.0000 0.0000 0.0000  8 Te 3.66-3.95
Ge 0.0076 0.2085 0.6191  3 Te 2.73-2.81
Te 0.0000 0.0000 0.2675  3 Ge 2.77
Te 0.0035 0.3712 0.7595  2 Ge 2.73-2.81

The value obtained for the density of states at the Fermi level is 30.860 states/eV per cell. The calculation puts the volume at 33.119 A^3/atom. For the magnetization, the calculation gives 0.0 μB per formula unit. As for the energy relative to the elements, uncorrected: -0.089 eV per atom.

***

First-principles (PBE) data for K3Ge2Te4 after structural relaxation, as listed in Alexandria.

Unit cell a=13.9131 b=11.8438 c=8.9587 alpha=90.00 beta=98.41 gamma=90.00
Closest atoms and distances in Å follow each position.
Space group C2/c (No. 15)
Asymmetric unit:
K 0.0000 0.1164 0.2500  6 Te 3.54-3.76
K 0.1461 0.3738 0.6348  6 Te 3.61-3.85, 2 Ge 3.72-3.90
Ge 0.1985 0.1221 0.9157  4 Te 2.74-2.86
Te 0.1097 0.3183 0.0183  2 Ge 2.74-2.85
Te 0.1723 0.0565 0.6046  2 Ge 2.77-2.86

The value obtained for the density of states at the Fermi level is 6.278 states/eV per cell. For the energy above the lowest structure with this stoichiometry, the calculation gives 12 meV per atom. The calculation puts the volume at 40.566 A^3/atom. For the magnetization, the calculation gives 0.0 μB per formula unit. As for the energy relative to the elements, uncorrected: -0.590 eV per atom.

***

First-principles (PBE) data for K2Ge3Te5 after structural relaxation, as listed in Alexandria.

Unit cell a=16.5630 b=4.3571 c=11.3381 alpha=90.00 beta=119.76 gamma=90.00
Closest atoms and distances in Å follow each position.
Space group C2/m (No. 12)
Asymmetric unit:
K 0.1733 0.0000 0.2431  7 Te 3.57-3.78
Ge 0.0000 0.0000 0.5000  6 Te 2.99-3.01
Ge 0.0537 0.5000 0.8059  4 Te 2.68-2.78
Te 0.0000 0.5000 0.0000  2 Ge 2.75
Te 0.0993 0.5000 0.4398  1 Ge 2.68
Te 0.1527 0.0000 0.7902  3 Ge 2.78-2.99

The value obtained for the density of states at the Fermi level is 3.214 states/eV per cell. The calculation puts the volume at 35.515 A^3/atom. For the magnetization, the calculation gives 0.0 μB per formula unit. As for the energy relative to the elements, uncorrected: -0.402 eV per atom.

***

First-principles (PBE) data for KGe2Te3 after structural relaxation, as listed in Alexandria.

Unit cell a=5.4383 b=14.7957 c=5.4374 alpha=90.00 beta=90.00 gamma=90.00
Closest atoms and distances in Å follow each position.
Space group Pmmn (No. 59, origin choice 2)
Asymmetric unit:
K 0.2500 0.2500 0.2490  4 Te 3.84-3.85
Ge 0.2500 0.5647 0.2501  5 Te 2.74-2.88
Te 0.2500 0.0001 0.7503  4 Ge 2.88
Te 0.2500 0.7500 0.2506  2 Ge 2.74

The value obtained for the density of states at the Fermi level is 3.972 states/eV per cell. For the energy above the lowest structure with this stoichiometry, the calculation gives 0 meV per atom. The calculation puts the volume at 36.459 A^3/atom. For the magnetization, the calculation gives 0.0 μB per formula unit. As for the energy relative to the elements, uncorrected: -0.294 eV per atom.

***

First-principles (PBE) data for KGe2Te2 after structural relaxation, as listed in Alexandria.

Unit cell a=5.6059 b=5.6059 c=9.8536 alpha=90.00 beta=90.00 gamma=90.00
Closest atoms and distances in Å follow each position.
Space group I4/mmm (No. 139)
Asymmetric unit:
K 0.0000 0.0000 0.0000  2 Ge 3.50, 8 Te 3.73
Ge 0.0000 0.0000 0.3549  1 Ge 2.86, 4 Te 2.99
Te 0.0000 0.5000 0.2500  4 Ge 2.99

The value obtained for the density of states at the Fermi level is 2.390 states/eV per cell. For the energy above the lowest structure with this stoichiometry, the calculation gives 0 meV per atom. The calculation puts the volume at 30.965 A^3/atom. For the magnetization, the calculation gives 0.0 μB per formula unit. As for the energy relative to the elements, uncorrected: -0.273 eV per atom.

***

First-principles (PBE) data for KGe2Te3 after structural relaxation, as listed in Alexandria.

Unit cell a=11.1379 b=11.7020 c=6.8082 alpha=90.00 beta=90.00 gamma=90.00
Closest atoms and distances in Å follow each position.
Space group Cmcm (No. 63)
Asymmetric unit:
K 0.0000 0.1482 0.2500  10 Te 3.92-4.24
Ge 0.1562 0.5000 0.0000  4 Te 2.75-2.96
Te 0.0000 0.3554 0.7500  4 Ge 2.96
Te 0.2027 0.1259 0.7500  2 Ge 2.75

The value obtained for the density of states at the Fermi level is 10.176 states/eV per cell. For the energy above the lowest structure with this stoichiometry, the calculation gives 45 meV per atom. The calculation puts the volume at 36.972 A^3/atom. For the magnetization, the calculation gives 0.0 μB per formula unit. As for the energy relative to the elements, uncorrected: -0.249 eV per atom.

***

First-principles (PBE) data for KGe2Te2 after structural relaxation, as listed in Alexandria.

Unit cell a=8.6043 b=8.6043 c=4.0014 alpha=90.00 beta=90.00 gamma=90.00
Closest atoms and distances in Å follow each position.
Space group P4/mbm (No. 127)
Asymmetric unit:
K 0.0000 0.0000 0.0000  4 Ge 3.52, 8 Te 3.78
Ge 0.1048 0.3952 0.0000  1 Ge 2.55
Te 0.1678 0.6678 0.5000  6 Ge 3.13-3.41

The value obtained for the density of states at the Fermi level is 4.310 states/eV per cell. For the energy above the lowest structure with this stoichiometry, the calculation gives 128 meV per atom. The calculation puts the volume at 29.624 A^3/atom. For the magnetization, the calculation gives 0.0 μB per formula unit. As for the energy relative to the elements, uncorrected: -0.144 eV per atom.

***

First-principles (PBE) data for K3Ge2Te4 after structural relaxation, as listed in Alexandria.

Unit cell a=17.3459 b=9.5625 c=8.6732 alpha=90.00 beta=90.73 gamma=90.00
Closest atoms and distances in Å follow each position.
Space group C2/c (No. 15)
Asymmetric unit:
K 0.0000 0.0014 0.2500  6 Te 3.52-3.94
K 0.1259 0.3869 0.8849  6 Te 3.56-3.71
Ge 0.1957 0.1551 0.5165  3 Te 2.59-2.81, 1 Ge 2.63
Te 0.0620 0.2744 0.4942  1 Ge 2.59
Te 0.2224 0.0593 0.8187  2 Ge 2.72-2.81

The value obtained for the density of states at the Fermi level is 10.094 states/eV per cell. For the energy above the lowest structure with this stoichiometry, the calculation gives 0 meV per atom. The calculation puts the volume at 39.958 A^3/atom. For the magnetization, the calculation gives 0.0 μB per formula unit. As for the energy relative to the elements, uncorrected: -0.602 eV per atom.

***

First-principles (PBE) data for K3Ge5Te12 after structural relaxation, as listed in Alexandria.

Unit cell a=17.8170 b=17.8170 c=17.8170 alpha=90.00 beta=90.00 gamma=90.00
Closest atoms and distances in Å follow each position.
Space group Ia-3d (No. 230)
Asymmetric unit:
K 0.0000 0.2500 0.1250  8 Te 3.46-3.59
Ge 0.0000 0.0000 0.0000  6 Te 2.88
Ge 0.0000 0.2500 0.3750  4 Te 2.67
Te 0.0361 0.0600 0.6454  2 Ge 2.67-2.88

The value obtained for the density of states at the Fermi level is 158.500 states/eV per cell. The calculation puts the volume at 35.349 A^3/atom. For the magnetization, the calculation gives 0.0 μB per formula unit. As for the energy relative to the elements, uncorrected: -0.134 eV per atom.